DFT (PBE-GGA) results for a relaxed structure of LiO.

Lattice parameters (Å, degrees): 3.1508 3.1508 11.9833 90.00 90.00 120.00
Space group R3m (No. 160, hexagonal axes)
One atom of each set of equivalent atoms:
Li (0.0000, 0.0000, 0.0000) [3 per cell]
Li (0.0000, 0.0000, 0.1824) [3 per cell]
O (0.0000, 0.0000, 0.4461) [3 per cell]
O (0.0000, 0.0000, 0.5760) [3 per cell]

VASP energy   -4.767 eV per atom
Raw formation energy   -1.33 eV per atom
Magnetic moment   0.0 μB per cell
V   8.585 Å³/atom